## a
DFT (GGA-PBE) results for TaBe3Nb after structural relaxation.

Cell lengths 3.0897, 22.0811, 3.6015 Å; angles 90.00, 90.00, 90.00 degrees
With the nearest neighbours (Å) after each atom.
Space group Cmcm (No. 63)
One atom of each set of equivalent atoms:
Ta1 0.0000 0.0714 0.2500 (multiplicity 4)  12 Be 2.58-2.63
Be1 0.0000 0.3323 0.7500 (multiplicity 4)  2 Be 2.12
Be2 0.0000 0.3828 0.2500 (multiplicity 4)  3 Be 2.07-2.12
Be3 0.0000 0.4767 0.2500 (multiplicity 4)  3 Be 2.07
Nb1 0.0000 0.2097 0.7500 (multiplicity 4)  7 Be 2.55-2.71

Calculated volume = 12.3 A^3/atom
DOS at the Fermi energy = 2.99 states/eV/f.u.

=====

## b
DFT (GGA-PBE) results for TaBe3Nb after structural relaxation.

Cell lengths 4.2506, 4.2506, 4.2506 Å; angles 90.00, 90.00, 90.00 degrees
With the nearest neighbours (Å) after each atom.
Space group Pm-3m (No. 221)
One atom of each set of equivalent atoms:
Ta1 0.0000 0.0000 0.0000 (multiplicity 1)  6 Be 2.13
Be1 0.0000 0.0000 0.5000 (multiplicity 3)  2 Ta 2.13
Nb1 0.5000 0.5000 0.5000 (multiplicity 1)  12 Be 3.01

Calculated volume = 15.4 A^3/atom
DOS at the Fermi energy = 1.36 states/eV/f.u.

=====

## c
DFT (GGA-PBE) results for TaBe3Nb after structural relaxation.

Cell lengths 4.1835, 4.1835, 4.1835 Å; angles 90.00, 90.00, 90.00 degrees
With the nearest neighbours (Å) after each atom.
Space group Pm-3m (No. 221)
One atom of each set of equivalent atoms:
Ta1 0.0000 0.0000 0.0000 (multiplicity 1)  12 Be 2.96
Be1 0.0000 0.5000 0.5000 (multiplicity 3)  2 Nb 2.09
Nb1 0.5000 0.5000 0.5000 (multiplicity 1)  6 Be 2.09

Calculated volume = 14.6 A^3/atom
DOS at the Fermi energy = 1.27 states/eV/f.u.

=====

Which of them is most stable? Easy: a.

=====

## a
DFT (GGA-PBE) results for TaBe2Nb after structural relaxation.

Cell lengths 3.4296, 3.3814, 9.1667 Å; angles 90.00, 90.00, 90.00 degrees
With the nearest neighbours (Å) after each atom.
Space group Amm2 (No. 38)
One atom of each set of equivalent atoms:
Ta1 0.0000 0.0000 0.0000 (multiplicity 2)  7 Be 2.53-2.61
Be1 0.0000 0.0000 0.7172 (multiplicity 2)  2 Be 2.10
Be2 0.5000 0.0000 0.5846 (multiplicity 2)  2 Be 2.10
Nb1 0.5000 0.0000 0.3007 (multiplicity 2)  7 Be 2.53-2.60

Calculated volume = 13.3 A^3/atom
DOS at the Fermi energy = 3.64 states/eV/f.u.

=====

## b
DFT (GGA-PBE) results for TaBe2Nb after structural relaxation.

Cell lengths 6.6066, 6.6066, 5.2486 Å; angles 90.00, 90.00, 90.00 degrees
With the nearest neighbours (Å) after each atom.
Space group I-42d (No. 122)
One atom of each set of equivalent atoms:
Ta1 0.0000 0.0000 0.0000 (multiplicity 4)  4 Be 2.43, 2 Nb 2.62
Be1 0.2487 0.7500 0.6250 (multiplicity 8)  2 Nb 2.42, 2 Ta 2.43, 2 Be 2.62
Nb1 0.0000 0.0000 0.5000 (multiplicity 4)  4 Be 2.42, 2 Ta 2.62

Calculated volume = 14.3 A^3/atom
DOS at the Fermi energy = 2.55 states/eV/f.u.

=====

Which of them is most stable? Easy: a.

=====

## a
DFT (GGA-PBE) results for Ta2Be9Nb after structural relaxation.

Cell lengths 4.5615, 4.5615, 14.0167 Å; angles 90.00, 90.00, 120.00 degrees
With the nearest neighbours (Å) after each atom.
Space group P6_3/mmc (No. 194)
One atom of each set of equivalent atoms:
Ta1 0.3333 0.6667 0.0399 (multiplicity 4)  12 Be 2.59-2.69, 3 Ta 2.86
Be1 0.0000 0.0000 0.0000 (multiplicity 2)  6 Be 2.24
Be2 0.0000 0.0000 0.2500 (multiplicity 2)  6 Be 2.17
Be3 0.1691 0.3381 0.6281 (multiplicity 12)  7 Be 2.15-2.31
Be4 0.3333 0.6667 0.7500 (multiplicity 2)  6 Be 2.15
Nb1 0.3333 0.6667 0.2500 (multiplicity 2)  18 Be 2.63-2.85, 2 Ta 2.95

Calculated volume = 10.5 A^3/atom
DOS at the Fermi energy = 2.16 states/eV/f.u.

=====

## b
DFT (GGA-PBE) results for Ta2Be9Nb after structural relaxation.

Cell lengths 4.5623, 4.5623, 20.9793 Å; angles 90.00, 90.00, 120.00 degrees
With the nearest neighbours (Å) after each atom.
Space group R-3m (No. 166, hexagonal axes)
One atom of each set of equivalent atoms:
Ta1 0.0000 0.0000 0.1399 (multiplicity 6)  12 Be 2.59-2.69, 3 Ta 2.86
Be1 0.0000 0.0000 0.3345 (multiplicity 6)  6 Be 2.15-2.16
Be2 0.0000 0.0000 0.5000 (multiplicity 3)  6 Be 2.24
Be3 0.0063 0.5031 0.9186 (multiplicity 18)  7 Be 2.15-2.32
Nb1 0.0000 0.0000 0.0000 (multiplicity 3)  18 Be 2.63-2.85, 2 Ta 2.93

Calculated volume = 10.5 A^3/atom
DOS at the Fermi energy = 2.20 states/eV/f.u.

=====

Which of them is most stable? Easy: b.

=====

## a
DFT (GGA-PBE) results for TaBe9Nb2 after structural relaxation.

Cell lengths 4.5624, 4.5624, 14.0303 Å; angles 90.00, 90.00, 120.00 degrees
With the nearest neighbours (Å) after each atom.
Space group P6_3/mmc (No. 194)
One atom of each set of equivalent atoms:
Ta1 0.3333 0.6667 0.2500 (multiplicity 2)  18 Be 2.63-2.84, 2 Nb 2.95
Be1 0.0000 0.0000 0.0000 (multiplicity 2)  6 Be 2.25
Be2 0.0000 0.0000 0.2500 (multiplicity 2)  6 Be 2.16
Be3 0.1686 0.3372 0.6291 (multiplicity 12)  7 Be 2.14-2.31
Be4 0.3333 0.6667 0.7500 (multiplicity 2)  6 Be 2.14
Nb1 0.3333 0.6667 0.0398 (multiplicity 4)  12 Be 2.60-2.70, 3 Nb 2.86

Calculated volume = 10.5 A^3/atom
DOS at the Fermi energy = 2.81 states/eV/f.u.

=====

## b
DFT (GGA-PBE) results for TaBe9Nb2 after structural relaxation.

Cell lengths 4.5629, 4.5629, 21.0079 Å; angles 90.00, 90.00, 120.00 degrees
With the nearest neighbours (Å) after each atom.
Space group R-3m (No. 166, hexagonal axes)
One atom of each set of equivalent atoms:
Ta1 0.0000 0.0000 0.0000 (multiplicity 3)  18 Be 2.63-2.84, 2 Nb 2.94
Be1 0.0000 0.0000 0.3344 (multiplicity 6)  6 Be 2.14-2.15
Be2 0.0000 0.0000 0.5000 (multiplicity 3)  6 Be 2.25
Be3 0.0057 0.5028 0.9194 (multiplicity 18)  7 Be 2.14-2.32
Nb1 0.0000 0.0000 0.1400 (multiplicity 6)  12 Be 2.60-2.70, 3 Nb 2.86

Calculated volume = 10.5 A^3/atom
DOS at the Fermi energy = 2.86 states/eV/f.u.

=====

Which of them is most stable? Easy: b.